Hf2Ag2Te7, optimized geometry, DFT PBE-GGA; formation energy (no corrections) = -0.31 eV per atom; size of the total moment = 0.0 Bohr magnetons per cell
1.0
-1.9773 8.2506 4.5864
1.9773 -8.2506 4.5864
1.9773 8.2506 -4.5864
Hf Ag Te
2 2 7
Cartesian
0.0000 0.0000 0.0000
0.0000 8.2506 0.4124
1.9773 4.2242 -2.3455
0.0000 4.0265 2.2409
1.9773 2.0085 0.5074
1.9773 -2.9471 4.1111
0.0000 0.0000 2.9357
1.9773 6.6494 1.9964
1.9773 2.9471 4.1111
0.0000 1.6013 6.5828
0.0000 6.2421 5.0938

TaNiPdRu, optimized geometry, DFT PBE-GGA; E above lowest polymorph = 0.187 eV per atom; size of the total moment = 0.8 Bohr magnetons per cell; ΔE_f = -0.55 eV per formula unit
1.0
0.0000 3.0862 3.0862
3.0862 0.0000 3.0862
3.0862 3.0862 0.0000
Ta Ni Pd Ru
1 1 1 1
Cartesian
0.0000 0.0000 0.0000
3.0862 3.0862 3.0862
4.6293 4.6293 4.6293
1.5431 1.5431 1.5431

AcMgPdPt, optimized geometry, DFT PBE-GGA; E above lowest polymorph = 0.181 eV per atom; size of the total moment = 0.0 Bohr magnetons per cell; ΔE_f = -2.86 eV per formula unit
1.0
0.0000 3.5714 3.5714
3.5714 0.0000 3.5714
3.5714 3.5714 0.0000
Ac Mg Pd Pt
1 1 1 1
Cartesian
0.0000 0.0000 0.0000
3.5714 3.5714 3.5714
5.3572 5.3572 5.3572
1.7857 1.7857 1.7857